## AcPaSe2N (PBE)

Data for AcPaSe2N after structural relaxation.

a = 4.0814 Å, b = 4.0814 Å, c = 15.6381 Å
α = 90.00°, β = 90.00°, γ = 90.00°
Fractional positions:
Ac  0.5000  0.0000  0.1354
Ac  0.0000  0.5000  0.8646
Pa  0.5000  0.0000  0.5708
Pa  0.0000  0.5000  0.4292
Se  0.0000  0.5000  0.6709
Se  0.0000  0.5000  0.0812
Se  0.5000  0.0000  0.9188
Se  0.5000  0.0000  0.3291
N  0.0000  0.0000  0.5000
N  0.5000  0.5000  0.5000

Summary:
E_tot in eV/cell: -75.11
Symmetry: P4/nmm (129)
DOS(E_F) in states/eV per cell: 8.37
Total magnetization in μB/f.u.: 0.70

---

## TaAg2As (PBE)

Data for TaAg2As after structural relaxation.

a = 3.3654 Å, b = 3.3654 Å, c = 6.4191 Å
α = 90.00°, β = 90.00°, γ = 90.00°
Fractional positions:
As  0.0000  0.0000  0.5409
Ag  0.0000  0.0000  0.9998
Ag  0.5000  0.5000  0.2381
Ta  0.5000  0.5000  0.7212

Summary:
Energy relative to the elements in eV per atom: 0.1055
E_tot in eV/cell: -21.78
Symmetry: P4mm (99)
DOS(E_F) in states/eV per cell: 2.76
Total magnetization in μB/f.u.: 0.00

---

## Rb2MnBiAu (PBE)

Data for Rb2MnBiAu after structural relaxation.

a = 6.8930 Å, b = 5.0215 Å, c = 6.8930 Å
α = 90.00°, β = 90.00°, γ = 90.00°
Fractional positions:
Mn  0.0000  0.0000  0.0000
Au  0.5000  0.5000  0.5000
Bi  0.0000  0.5000  0.0000
Rb  0.0000  0.0000  0.5000
Rb  0.5000  0.0000  0.0000

Summary:
Energy relative to the elements in eV per atom: 0.3317
E_tot in eV/cell: -16.60
Symmetry: P4/mmm (123)
DOS(E_F) in states/eV per cell: 4.29
Total magnetization in μB/f.u.: 3.88

---

## Ni2SnSe3 (PBE)

Data for Ni2SnSe3 after structural relaxation.

a = 7.0117 Å, b = 7.0117 Å, c = 6.9741 Å
α = 59.82°, β = 59.82°, γ = 60.00°
Fractional positions:
Ni  0.0000  0.0000  0.0000
Ni  0.5000  0.0000  0.0000
Ni  0.5000  0.5000  0.0000
Ni  0.0000  0.5000  0.0000
Sn  0.2241  0.2241  0.3276
Sn  0.7759  0.7759  0.6724
Se  0.2404  0.7403  0.7789
Se  0.7403  0.2404  0.7789
Se  0.2404  0.2404  0.7789
Se  0.2597  0.7596  0.2211
Se  0.7596  0.2597  0.2211
Se  0.7596  0.7596  0.2211

Summary:
E_tot in eV/cell: -55.18
Symmetry: R-3m (166)
DOS(E_F) in states/eV per cell: 6.37
Total magnetization in μB/f.u.: 0.00

---

## LaEu3 (PBE)

Data for LaEu3 after structural relaxation.

a = 6.1440 Å, b = 6.1440 Å, c = 6.1248 Å
α = 120.10°, β = 120.10°, γ = 90.00°
Fractional positions:
Eu  0.7500  0.2500  0.5000
Eu  0.2500  0.7500  0.5000
Eu  0.5000  0.5000  0.0000
La  0.0000  0.0000  0.0000

Summary:
Energy relative to the elements in eV per atom: 0.0973
E_tot in eV/cell: -35.36
Symmetry: I4/mmm (139)
DOS(E_F) in states/eV per cell: 4.96
Total magnetization in μB/f.u.: 21.92

---

## ZnTcPb (PBE)

Data for ZnTcPb after structural relaxation.

a = 7.0818 Å, b = 7.0820 Å, c = 3.0486 Å
α = 77.57°, β = 77.57°, γ = 24.86°
Fractional positions:
Pb  0.9772  0.9772  0.0228
Tc  0.3182  0.3182  0.6818
Zn  0.7046  0.7046  0.2954

Summary:
Energy relative to the elements in eV per atom: 0.5401
E_tot in eV/cell: -13.73
Symmetry: I4mm (107)
Distance to the lowest polymorph of the same formula in eV/atom: 0.104
DOS(E_F) in states/eV per cell: 1.94
Total magnetization in μB/f.u.: 1.18

---

## CdPdO3 (PBE)

Data for CdPdO3 after structural relaxation.

a = 3.9298 Å, b = 3.9298 Å, c = 3.9298 Å
α = 90.00°, β = 90.00°, γ = 90.00°
Fractional positions:
O  0.0000  0.5000  0.0000
O  0.0000  0.0000  0.5000
O  0.5000  0.0000  0.0000
Pd  0.0000  0.0000  0.0000
Cd  0.5000  0.5000  0.5000

Summary:
E_tot in eV/cell: -21.79
Symmetry: Pm-3m (221)
DOS(E_F) in states/eV per cell: 5.18
Total magnetization in μB/f.u.: 0.22

---

## Nb2In2Sn (PBE)

Data for Nb2In2Sn after structural relaxation.

a = 7.2298 Å, b = 7.2298 Å, c = 4.2226 Å
α = 90.00°, β = 90.00°, γ = 90.00°
Fractional positions:
Nb  0.3659  0.8659  0.0000
Nb  0.8659  0.6341  0.0000
Nb  0.6341  0.1341  0.0000
Nb  0.1341  0.3659  0.0000
Sn  0.0000  0.0000  0.0000
Sn  0.5000  0.5000  0.0000
In  0.1638  0.6638  0.5000
In  0.6638  0.8362  0.5000
In  0.8362  0.3362  0.5000
In  0.3362  0.1638  0.5000

Summary:
Energy relative to the elements in eV per atom: 0.0802
E_tot in eV/cell: -58.44
Symmetry: P4/mbm (127)
DOS(E_F) in states/eV per cell: 4.87
Total magnetization in μB/f.u.: 0.00

---

Question: Which of these has the highest total magnetization?
Answer: LaEu3

---

Question: What is the DOS(E_F) in the seventh record?
Answer: 5.18 states/eV per cell